# PBE+U CoAsSe2O, optimized geometry
# * total energy: -17.1 eV per cell
data_CoAsSe2O
_chemical_formula_sum 'Co1 As1 Se2 O1'
_symmetry_space_group_name_H-M 'P 4/m m m'
_symmetry_Int_Tables_number 123
_symmetry_space_group_name_Hall '-P 4 2'
_cell_length_a 4.686
_cell_length_b 4.686
_cell_length_c 4.502
_cell_angle_alpha 90.00
_cell_angle_beta 90.00
_cell_angle_gamma 90.00
loop_
_atom_site_label
_atom_site_fract_x
_atom_site_fract_y
_atom_site_fract_z
Co1 0.000 0.000 0.000
As1 0.000 0.000 0.500
Se1 0.000 0.500 0.000
O1 0.500 0.500 0.500